Pa3NiIr2 | GGA-PBE | optimized geometry

Space group: C2/c
Energy, eV per atom: -9.2503
Total magnetic moment, μB per cell: 0.00

Cell lengths 6.0253, 6.9488, 6.8756 Å; angles 104.46, 115.99, 90.00 degrees
With the nearest neighbours (Å) after each atom.
Fractional positions:
1 Pa 0.7324 0.8835 0.6678  1 Ni 2.49
2 Pa 0.2676 0.1165 0.3322  1 Ni 2.49
3 Pa 0.6274 0.2500 0.0000  4 Ir 2.73-2.86, 1 Ni 2.96
4 Pa 0.0646 0.6165 0.3322  1 Ni 2.49
5 Pa 0.3726 0.7500 0.0000  4 Ir 2.73-2.86, 1 Ni 2.96
6 Pa 0.9354 0.3835 0.6678  1 Ni 2.49
7 Ir 0.2313 0.9760 0.6789  5 Pa 2.73-3.04, 1 Ni 2.80, 1 Ir 2.89
8 Ir 0.4476 0.4760 0.6789  5 Pa 2.73-3.04, 1 Ni 2.80, 1 Ir 2.89
9 Ir 0.7687 0.0240 0.3211  5 Pa 2.73-3.04, 1 Ni 2.80, 1 Ir 2.89
10 Ir 0.5524 0.5240 0.3211  5 Pa 2.73-3.04, 1 Ni 2.80, 1 Ir 2.89
11 Ni 0.1361 0.2500 0.0000  2 Pa 2.49
12 Ni 0.8639 0.7500 0.0000  2 Pa 2.49

***

Ca3Bi5S12 | GGA-PBE | optimized geometry

Space group: Ia-3d
Energy, eV per atom: -4.4091
Total magnetic moment, μB per cell: 0.00

Cell lengths 14.2898, 14.2898, 14.2898 Å; angles 109.47, 109.47, 109.47 degrees
With the nearest neighbours (Å) after each atom.
Fractional positions:
1 Bi 0.2500 0.8750 0.1250  4 S 2.63
2 Bi 0.8750 0.6250 0.7500  4 S 2.63
3 Bi 0.1250 0.7500 0.3750  4 S 2.63
4 Bi 0.7500 0.1250 0.8750  4 S 2.63
5 Bi 0.7500 0.6250 0.3750  4 S 2.63
6 Bi 0.2500 0.3750 0.6250  4 S 2.63
7 Bi 0.5000 0.0000 0.0000  6 S 2.78
8 Bi 0.0000 0.0000 0.0000  6 S 2.78
9 Bi 0.3750 0.1250 0.7500  4 S 2.63
10 Bi 0.0000 0.0000 0.5000  6 S 2.78
11 Bi 0.6250 0.8750 0.2500  4 S 2.63
12 Bi 0.3750 0.2500 0.1250  4 S 2.63
13 Bi 0.0000 0.5000 0.0000  6 S 2.78
14 Bi 0.0000 0.5000 0.5000  6 S 2.78
15 Bi 0.5000 0.5000 0.0000  6 S 2.78
16 Bi 0.5000 0.0000 0.5000  6 S 2.78
17 Bi 0.1250 0.3750 0.2500  4 S 2.63
18 Bi 0.6250 0.7500 0.8750  4 S 2.63
19 Bi 0.5000 0.5000 0.5000  6 S 2.78
20 Bi 0.8750 0.2500 0.6250  4 S 2.63
21 S 0.9506 0.3636 0.2797  2 Bi 2.63-2.78
22 S 0.7203 0.1364 0.0494  2 Bi 2.63-2.78
23 S 0.3291 0.5494 0.4131  2 Bi 2.63-2.78
24 S 0.8291 0.9160 0.2797  2 Bi 2.63-2.78
25 S 0.2203 0.5494 0.6364  2 Bi 2.63-2.78
26 S 0.9506 0.5869 0.1709  2 Bi 2.63-2.78
27 S 0.4160 0.2797 0.3291  2 Bi 2.63-2.78
28 S 0.1709 0.0840 0.7203  2 Bi 2.63-2.78
29 S 0.3636 0.9506 0.7797  2 Bi 2.63-2.78
30 S 0.9131 0.8291 0.5494  2 Bi 2.63-2.78
31 S 0.3636 0.4131 0.0840  2 Bi 2.63-2.78
32 S 0.8636 0.2797 0.4506  2 Bi 2.63-2.78
33 S 0.2203 0.6709 0.0840  2 Bi 2.63-2.78
34 S 0.7203 0.5840 0.1709  2 Bi 2.63-2.78
35 S 0.4160 0.1364 0.5869  2 Bi 2.63-2.78
36 S 0.4506 0.7797 0.8636  2 Bi 2.63-2.78
37 S 0.0494 0.6364 0.7203  2 Bi 2.63-2.78
38 S 0.1364 0.4160 0.0869  2 Bi 2.63-2.78
39 S 0.4131 0.0494 0.3291  2 Bi 2.63-2.78
40 S 0.3291 0.7797 0.4160  2 Bi 2.63-2.78
41 S 0.6709 0.4506 0.5869  2 Bi 2.63-2.78
42 S 0.2797 0.4160 0.8291  2 Bi 2.63-2.78
43 S 0.0494 0.4131 0.8291  2 Bi 2.63-2.78
44 S 0.5869 0.6364 0.4160  2 Bi 2.63-2.78
45 S 0.0869 0.9160 0.1364  2 Bi 2.63-2.78
46 S 0.9160 0.8291 0.7797  2 Bi 2.63-2.78
47 S 0.6364 0.5869 0.9160  2 Bi 2.63-2.78
48 S 0.5840 0.7203 0.6709  2 Bi 2.63-2.78
49 S 0.6364 0.0494 0.2203  2 Bi 2.63-2.78
50 S 0.5494 0.3291 0.9131  2 Bi 2.63-2.78
51 S 0.9160 0.0869 0.6364  2 Bi 2.63-2.78
52 S 0.2797 0.8636 0.9506  2 Bi 2.63-2.78
53 S 0.6709 0.2203 0.5840  2 Bi 2.63-2.78
54 S 0.8636 0.5840 0.9131  2 Bi 2.63-2.78
55 S 0.1364 0.7203 0.5494  2 Bi 2.63-2.78
56 S 0.9131 0.0840 0.8636  2 Bi 2.63-2.78
57 S 0.5869 0.9506 0.6709  2 Bi 2.63-2.78
58 S 0.7797 0.3291 0.9160  2 Bi 2.63-2.78
59 S 0.4131 0.3636 0.5840  2 Bi 2.63-2.78
60 S 0.0840 0.1709 0.2203  2 Bi 2.63-2.78
61 S 0.7797 0.4506 0.3636  2 Bi 2.63-2.78
62 S 0.5494 0.2203 0.1364  2 Bi 2.63-2.78
63 S 0.1709 0.0869 0.9506  2 Bi 2.63-2.78
64 S 0.4506 0.6709 0.0869  2 Bi 2.63-2.78
65 S 0.0869 0.1709 0.4506  2 Bi 2.63-2.78
66 S 0.8291 0.9131 0.0494  2 Bi 2.63-2.78
67 S 0.5840 0.8636 0.4131  2 Bi 2.63-2.78
68 S 0.0840 0.9131 0.3636  2 Bi 2.63-2.78
69 Ca 0.8750 0.7500 0.1250  8 S 3.04-3.07
70 Ca 0.6250 0.3750 0.7500  8 S 3.04-3.07
71 Ca 0.1250 0.8750 0.7500  8 S 3.04-3.07
72 Ca 0.7500 0.3750 0.1250  8 S 3.04-3.07
73 Ca 0.7500 0.8750 0.6250  8 S 3.04-3.07
74 Ca 0.2500 0.1250 0.3750  8 S 3.04-3.07
75 Ca 0.6250 0.2500 0.3750  8 S 3.04-3.07
76 Ca 0.2500 0.6250 0.8750  8 S 3.04-3.07
77 Ca 0.3750 0.6250 0.2500  8 S 3.04-3.07
78 Ca 0.3750 0.7500 0.6250  8 S 3.04-3.07
79 Ca 0.8750 0.1250 0.2500  8 S 3.04-3.07
80 Ca 0.1250 0.2500 0.8750  8 S 3.04-3.07